Entry 1:
## Nb6Si3Ge (PBE)

Data for a geometry-optimized Nb6Si3Ge structure.

The value obtained for the total magnetization is 0.00 Bohr magnetons per cell. As for the total energy: -0.6143 Ry/atom. The crystal system is monoclinic. As for the space group: P2_1/c.

Lattice parameters (Å, degrees): 6.1120 6.6854 8.6211 90.00 90.12 90.00
Closest atoms and distances in Å follow each position.
Fractional coordinates of all 20 atoms:
1 Nb 0.6374 0.1627 0.9274  3 Si 2.49-2.69, 1 Ge 2.55
2 Nb 0.6432 0.1554 0.5725  3 Si 2.50-2.66, 1 Ge 2.54
3 Nb 0.6986 0.4702 0.2468  3 Si 2.46-2.64, 1 Ge 2.51
4 Nb 0.3014 0.5298 0.7532  3 Si 2.46-2.64, 1 Ge 2.51
5 Nb 0.3568 0.8446 0.4275  3 Si 2.50-2.66, 1 Ge 2.54
6 Nb 0.3626 0.8373 0.0726  3 Si 2.49-2.69, 1 Ge 2.55
7 Nb 0.1374 0.3373 0.4274  3 Si 2.49-2.69, 1 Ge 2.55
8 Nb 0.1432 0.3446 0.0725  3 Si 2.50-2.66, 1 Ge 2.54
9 Nb 0.1986 0.0298 0.7468  3 Si 2.46-2.64, 1 Ge 2.51
10 Nb 0.8014 0.9702 0.2532  3 Si 2.46-2.64, 1 Ge 2.51
11 Nb 0.8568 0.6554 0.9275  3 Si 2.50-2.66, 1 Ge 2.54
12 Nb 0.8626 0.6627 0.5726  3 Si 2.49-2.69, 1 Ge 2.55
13 Si 0.5635 0.8439 0.7527  6 Nb 2.55-2.69
14 Si 0.5000 0.5000 0.0000  6 Nb 2.46-2.50
15 Si 0.4365 0.1561 0.2473  6 Nb 2.55-2.69
16 Si 0.0635 0.6561 0.2527  6 Nb 2.55-2.69
17 Si 0.0000 0.0000 0.5000  6 Nb 2.46-2.50
18 Si 0.9365 0.3439 0.7473  6 Nb 2.55-2.69
19 Ge 0.5000 0.5000 0.5000  6 Nb 2.51-2.55
20 Ge 0.0000 0.0000 0.0000  6 Nb 2.51-2.55


Entry 2:
## Sr2NbSiGe (PBE)

Data for a geometry-optimized Sr2NbSiGe structure.

The value obtained for the total magnetization is 1.53 Bohr magnetons per cell. As for the total energy: -0.2869 Ry/atom. The crystal system is tetragonal. As for the space group: P4/mmm.

Lattice parameters (Å, degrees): 5.8308 4.8848 5.8308 90.00 90.00 90.00
Closest atoms and distances in Å follow each position.
Fractional coordinates of all 5 atoms:
1 Sr 0.0000 0.0000 0.5000  2 Nb 2.92
2 Sr 0.5000 0.0000 0.0000  2 Nb 2.92
3 Nb 0.0000 0.0000 0.0000  2 Si 2.44
4 Si 0.0000 0.5000 0.0000  2 Nb 2.44
5 Ge 0.5000 0.5000 0.5000  8 Sr 3.80, 4 Si 4.12


Entry 3:
## NbSi2TcGe (PBE)

Data for a geometry-optimized NbSi2TcGe structure.

The value obtained for the total magnetization is 1.26 Bohr magnetons per cell. As for the total energy: -0.4404 Ry/atom. The crystal system is tetragonal. As for the space group: P4/mmm.

Lattice parameters (Å, degrees): 4.8614 4.7717 4.8614 90.00 90.00 90.00
Closest atoms and distances in Å follow each position.
Fractional coordinates of all 5 atoms:
1 Si 0.0000 0.0000 0.5000  2 Nb 2.43
2 Si 0.5000 0.0000 0.0000  2 Nb 2.43
3 Nb 0.0000 0.0000 0.0000  2 Tc 2.39, 4 Si 2.43
4 Ge 0.5000 0.5000 0.5000  8 Si 3.41, 4 Tc 3.44
5 Tc 0.0000 0.5000 0.0000  2 Nb 2.39


Entry 4:
## Sm2NbGe3 (PBE)

Data for a geometry-optimized Sm2NbGe3 structure.

The value obtained for the total magnetization is 0.00 Bohr magnetons per cell. For the formation energy, the calculation gives -0.531 eV per atom. The crystal system is orthorhombic. As for the space group: Immm.

Lattice parameters (Å, degrees): 3.9579 5.7182 7.0726 113.84 106.25 90.00
Closest atoms and distances in Å follow each position.
Fractional coordinates of all 6 atoms:
1 Sm 0.6718 0.1718 0.3437  6 Ge 2.88-2.98
2 Sm 0.3282 0.8282 0.6563  6 Ge 2.88-2.98
3 Nb 0.0000 0.5000 0.0000  6 Ge 2.68-2.86
4 Ge 0.3533 0.3533 0.7065  2 Nb 2.68, 4 Sm 2.88-2.98
5 Ge 0.0000 0.0000 0.0000  2 Nb 2.86, 4 Sm 2.90
6 Ge 0.6467 0.6467 0.2935  2 Nb 2.68, 4 Sm 2.88-2.98


Entry 5:
## Sm5NbGe4 (PBE)

Data for a geometry-optimized Sm5NbGe4 structure.

The value obtained for the total magnetization is 0.00 Bohr magnetons per cell. For the formation energy, the calculation gives -0.464 eV per atom. The crystal system is monoclinic. As for the space group: C2/m.

Lattice parameters (Å, degrees): 4.0210 7.9292 9.1246 104.71 102.73 90.00
Closest atoms and distances in Å follow each position.
Fractional coordinates of all 10 atoms:
1 Sm 0.8337 0.6458 0.6674  3 Ge 2.89
2 Sm 0.8289 0.1690 0.6578  4 Ge 2.91-2.94
3 Sm 0.1711 0.8310 0.3422  4 Ge 2.91-2.94
4 Sm 0.5000 0.5000 0.0000  4 Ge 2.96
5 Sm 0.1663 0.3542 0.3326  3 Ge 2.89
6 Nb 0.5000 0.0000 0.0000  6 Ge 2.70-2.72
7 Ge 0.3418 0.9121 0.6837  1 Nb 2.72, 5 Sm 2.89-2.94
8 Ge 0.0016 0.7743 0.0031  2 Nb 2.70, 4 Sm 2.89-2.96
9 Ge 0.6582 0.0879 0.3163  1 Nb 2.72, 5 Sm 2.89-2.94
10 Ge 0.9984 0.2257 0.9969  2 Nb 2.70, 4 Sm 2.89-2.96


Entry 6:
## SmNb4Ge4 (PBE)

Data for a geometry-optimized SmNb4Ge4 structure.

The value obtained for the total magnetization is 0.00 Bohr magnetons per cell. For the formation energy, the calculation gives -0.224 eV per atom. The crystal system is tetragonal. As for the space group: P4_2/n.

Lattice parameters (Å, degrees): 5.0604 8.6229 8.6229 90.00 90.00 90.00
Closest atoms and distances in Å follow each position.
Fractional coordinates of all 18 atoms:
1 Sm 0.0000 0.0000 0.0000  4 Nb 3.38, 8 Ge 3.49-3.56
2 Sm 0.5000 0.5000 0.5000  4 Nb 3.38, 8 Ge 3.49-3.56
3 Nb 0.3954 0.3869 0.8709  5 Ge 2.54-2.80
4 Nb 0.8954 0.6291 0.8869  5 Ge 2.54-2.80
5 Nb 0.3954 0.6131 0.1291  5 Ge 2.54-2.80
6 Nb 0.1046 0.1131 0.6291  5 Ge 2.54-2.80
7 Nb 0.6046 0.8709 0.6131  5 Ge 2.54-2.80
8 Nb 0.1046 0.8869 0.3709  5 Ge 2.54-2.80
9 Nb 0.8954 0.3709 0.1131  5 Ge 2.54-2.80
10 Nb 0.6046 0.1291 0.3869  5 Ge 2.54-2.80
11 Ge 0.5889 0.8512 0.2891  1 Ge 2.48, 4 Nb 2.54-2.72
12 Ge 0.5889 0.1488 0.7109  1 Ge 2.48, 4 Nb 2.54-2.72
13 Ge 0.0889 0.7891 0.6488  1 Ge 2.48, 4 Nb 2.54-2.72
14 Ge 0.9111 0.3512 0.7891  1 Ge 2.48, 4 Nb 2.54-2.72
15 Ge 0.9111 0.6488 0.2109  1 Ge 2.48, 4 Nb 2.54-2.72
16 Ge 0.4111 0.2891 0.1488  1 Ge 2.48, 4 Nb 2.54-2.72
17 Ge 0.4111 0.7109 0.8512  1 Ge 2.48, 4 Nb 2.54-2.72
18 Ge 0.0889 0.2109 0.3512  1 Ge 2.48, 4 Nb 2.54-2.72


Entry 7:
## SmNb3Ge2 (PBE)

Data for a geometry-optimized SmNb3Ge2 structure.

The value obtained for the total magnetization is 0.00 Bohr magnetons per cell. For the formation energy, the calculation gives -0.424 eV per atom. The crystal system is monoclinic. As for the space group: C2/m.

Lattice parameters (Å, degrees): 4.3915 7.7045 8.6063 116.43 90.00 106.56
Closest atoms and distances in Å follow each position.
Fractional coordinates of all 12 atoms:
1 Sm 0.8526 0.7053 0.9369  7 Ge 3.13-3.39, 1 Nb 3.50
2 Sm 0.1474 0.2947 0.0631  7 Ge 3.13-3.39, 1 Nb 3.50
3 Nb 0.3152 0.6303 0.5298  2 Ge 2.66-2.88, 5 Nb 2.79-2.82
4 Nb 0.9508 0.9017 0.6305  3 Ge 2.74-2.78, 4 Nb 2.81-2.82
5 Nb 0.5773 0.1546 0.6646  3 Ge 2.58-2.71, 4 Nb 2.69-2.81
6 Nb 0.4227 0.8454 0.3354  3 Ge 2.58-2.71, 4 Nb 2.69-2.81
7 Nb 0.0492 0.0983 0.3695  3 Ge 2.74-2.78, 4 Nb 2.81-2.82
8 Nb 0.6848 0.3697 0.4702  2 Ge 2.66-2.88, 5 Nb 2.79-2.82
9 Ge 0.4782 0.9565 0.8453  1 Ge 2.43, 2 Nb 2.58-2.66
10 Ge 0.5218 0.0435 0.1547  1 Ge 2.43, 2 Nb 2.58-2.66
11 Ge 0.8052 0.6103 0.2860  6 Nb 2.71-2.99
12 Ge 0.1948 0.3896 0.7140  6 Nb 2.71-2.99


Entry 8:
## Sm3Nb2Ge4 (PBE)

Data for a geometry-optimized Sm3Nb2Ge4 structure.

The value obtained for the total magnetization is 0.00 Bohr magnetons per cell. For the formation energy, the calculation gives -0.611 eV per atom. The crystal system is monoclinic. As for the space group: C2/m.

Lattice parameters (Å, degrees): 4.0487 6.5615 8.7184 111.39 90.00 107.97
Closest atoms and distances in Å follow each position.
Fractional coordinates of all 9 atoms:
1 Sm 0.6172 0.2344 0.7033  7 Ge 2.95-3.15
2 Sm 0.0000 0.0000 0.0000  6 Ge 3.14-3.32
3 Sm 0.3828 0.7656 0.2967  7 Ge 2.95-3.15
4 Nb 0.6966 0.3931 0.3725  4 Ge 2.63-2.77, 2 Nb 2.92
5 Nb 0.3034 0.6069 0.6275  4 Ge 2.63-2.77, 2 Nb 2.92
6 Ge 0.7055 0.4111 0.0696  1 Nb 2.69, 2 Ge 2.80, 1 Sm 2.95
7 Ge 0.2945 0.5889 0.9304  1 Nb 2.69, 2 Ge 2.80, 1 Sm 2.95
8 Ge 0.9262 0.8525 0.5920  3 Nb 2.63-2.77, 1 Ge 2.87
9 Ge 0.0738 0.1475 0.4080  3 Nb 2.63-2.77, 1 Ge 2.87


Entry 9:
## Sm2Nb3Ge4 (PBE)

Data for a geometry-optimized Sm2Nb3Ge4 structure.

The value obtained for the total magnetization is 0.00 Bohr magnetons per cell. For the formation energy, the calculation gives -0.721 eV per atom. The crystal system is monoclinic. As for the space group: P2_1/c.

Lattice parameters (Å, degrees): 7.1229 7.2437 7.2441 90.00 90.00 109.32
Closest atoms and distances in Å follow each position.
Fractional coordinates of all 18 atoms:
1 Sm 0.5597 0.1870 0.3296  7 Ge 2.92-3.14
2 Sm 0.9403 0.8130 0.8296  7 Ge 2.92-3.14
3 Sm 0.4403 0.8130 0.6704  7 Ge 2.92-3.14
4 Sm 0.0597 0.1870 0.1704  7 Ge 2.92-3.14
5 Nb 0.0000 0.5000 0.5000  6 Ge 2.79-2.84
6 Nb 0.5000 0.5000 0.0000  6 Ge 2.79-2.84
7 Nb 0.7472 0.2573 0.8273  6 Ge 2.62-2.82
8 Nb 0.7528 0.7427 0.3273  6 Ge 2.62-2.82
9 Nb 0.2528 0.7427 0.1727  6 Ge 2.62-2.82
10 Nb 0.2472 0.2573 0.6727  6 Ge 2.62-2.82
11 Ge 0.8615 0.0873 0.5407  4 Nb 2.67-2.84, 1 Ge 2.74, 1 Sm 2.92
12 Ge 0.6385 0.9127 0.0407  4 Nb 2.67-2.84, 1 Ge 2.74, 1 Sm 2.92
13 Ge 0.1385 0.9127 0.4593  4 Nb 2.67-2.84, 1 Ge 2.74, 1 Sm 2.92
14 Ge 0.3615 0.0873 0.9593  4 Nb 2.67-2.84, 1 Ge 2.74, 1 Sm 2.92
15 Ge 0.8665 0.4945 0.1310  5 Nb 2.62-2.83, 1 Ge 2.67, 1 Sm 2.93
16 Ge 0.6335 0.5055 0.6310  5 Nb 2.62-2.83, 1 Ge 2.67, 1 Sm 2.93
17 Ge 0.1335 0.5055 0.8690  5 Nb 2.62-2.83, 1 Ge 2.67, 1 Sm 2.93
18 Ge 0.3665 0.4945 0.3690  5 Nb 2.62-2.83, 1 Ge 2.67, 1 Sm 2.93


Entry 10:
## SmNb4Ge2 (PBE)

Data for a geometry-optimized SmNb4Ge2 structure.

The value obtained for the total magnetization is 0.00 Bohr magnetons per cell. For the formation energy, the calculation gives -0.380 eV per atom. The crystal system is orthorhombic. As for the space group: Cmmm.

Lattice parameters (Å, degrees): 4.2811 3.7203 8.8230 102.17 90.00 90.00
Closest atoms and distances in Å follow each position.
Fractional coordinates of all 7 atoms:
1 Nb 0.5000 0.8176 0.6352  2 Ge 2.65, 4 Nb 2.84
2 Nb 0.0000 0.6771 0.3542  2 Ge 2.79, 6 Nb 2.84-3.13
3 Nb 0.5000 0.1824 0.3648  2 Ge 2.65, 4 Nb 2.84
4 Nb 0.0000 0.3229 0.6458  2 Ge 2.79, 6 Nb 2.84-3.13
5 Ge 0.5000 0.5729 0.1459  1 Ge 2.52, 4 Nb 2.65-2.79
6 Ge 0.5000 0.4271 0.8541  1 Ge 2.52, 4 Nb 2.65-2.79
7 Sm 0.0000 0.0000 0.0000  8 Ge 3.10